(1)
# HgHI2O, optimized geometry, DFT PBE
data_HgHI2O
_cell_length_a 6.365
_cell_length_b 6.365
_cell_length_c 3.957
_cell_angle_alpha 90.00
_cell_angle_beta 90.00
_cell_angle_gamma 90.00
_space_group_name_H-M_alt 'P 1'
_space_group_IT_number 1
_space_group_name_Hall 'P 1'
loop_
_atom_site_label
_atom_site_fract_x
_atom_site_fract_y
_atom_site_fract_z
_atom_site_occupancy
I1 0.000 0.500 0.000 1
I2 0.500 0.000 0.000 1
H1 0.500 0.500 0.500 1
Hg1 0.000 0.000 0.000 1
O1 0.000 0.000 0.500 1
# - Excess energy over the best structure of this formula in the dataset: 247 kJ/mol of formula units
# - Total moment: 0.47 μB/f.u.

***

(2)
# Na3Dy2TcO6, optimized geometry, DFT PBE
data_Na3Dy2TcO6
_cell_length_a 5.662
_cell_length_b 5.662
_cell_length_c 5.908
_cell_angle_alpha 99.22
_cell_angle_beta 99.22
_cell_angle_gamma 118.62
_space_group_name_H-M_alt 'P 1'
_space_group_IT_number 1
_space_group_name_Hall 'P 1'
loop_
_atom_site_label
_atom_site_fract_x
_atom_site_fract_y
_atom_site_fract_z
_atom_site_occupancy
Na1 0.160 0.840 0.500 1
Na2 0.840 0.160 0.500 1
Na3 0.500 0.500 0.500 1
Dy1 0.327 0.673 0.000 1
Dy2 0.673 0.327 0.000 1
Tc1 0.000 0.000 0.000 1
O1 0.920 0.600 0.779 1
O2 0.760 0.760 0.202 1
O3 0.080 0.400 0.221 1
O4 0.600 0.920 0.779 1
O5 0.240 0.240 0.798 1
O6 0.400 0.080 0.221 1
# - Raw formation energy: -2243.3 meV/atom
# - Total moment: 2.00 μB/f.u.

***

(3)
# CaTa2Tl, optimized geometry, DFT PBE
data_CaTa2Tl
_cell_length_a 2.964
_cell_length_b 2.964
_cell_length_c 10.338
_cell_angle_alpha 90.00
_cell_angle_beta 90.00
_cell_angle_gamma 103.66
_space_group_name_H-M_alt 'P 1'
_space_group_IT_number 1
_space_group_name_Hall 'P 1'
loop_
_atom_site_label
_atom_site_fract_x
_atom_site_fract_y
_atom_site_fract_z
_atom_site_occupancy
Tl1 0.500 0.500 0.250 1
Ca1 0.500 0.500 0.750 1
Ta1 0.000 0.000 0.017 1
Ta2 0.000 0.000 0.483 1
# - Calculated formation energy: 0.720 eV per atom
# - Excess energy over the best structure of this formula in the dataset: 174 kJ/mol of formula units
# - Total moment: 0.00 μB/f.u.

***

(4)
# NpTl3Bi2Se6, optimized geometry, DFT PBE
data_NpTl3Bi2Se6
_cell_length_a 7.412
_cell_length_b 7.412
_cell_length_c 8.119
_cell_angle_alpha 98.75
_cell_angle_beta 98.75
_cell_angle_gamma 120.00
_space_group_name_H-M_alt 'P 1'
_space_group_IT_number 1
_space_group_name_Hall 'P 1'
loop_
_atom_site_label
_atom_site_fract_x
_atom_site_fract_y
_atom_site_fract_z
_atom_site_occupancy
Np1 0.000 0.000 0.000 1
Tl1 0.167 0.833 0.500 1
Tl2 0.833 0.167 0.500 1
Tl3 0.500 0.500 0.500 1
Bi1 0.333 0.667 0.000 1
Bi2 0.667 0.333 0.000 1
Se1 0.929 0.602 0.788 1
Se2 0.744 0.744 0.212 1
Se3 0.071 0.398 0.212 1
Se4 0.602 0.929 0.788 1
Se5 0.256 0.256 0.788 1
Se6 0.398 0.071 0.212 1
# - Raw formation energy: -590.6 meV/atom
# - Total moment: 3.95 μB/f.u.